(1)
# Nb2W3 (PBE, relaxed)
data_Nb2W3
_space_group_name_H-M_alt 'P 1'
_space_group_IT_number 1
_cell_length_a 3.227
_cell_length_b 3.227
_cell_length_c 8.412
_cell_angle_alpha 101.06
_cell_angle_beta 101.06
_cell_angle_gamma 90.00
loop_
_space_group_symop_operation_xyz
'x,y,z'
loop_
_atom_site_label
_atom_site_fract_x
_atom_site_fract_y
_atom_site_fract_z
Nb1 0.400 0.400 0.800
Nb2 0.600 0.600 0.200
W1 0.000 0.000 0.000
W2 0.203 0.203 0.405
W3 0.797 0.797 0.595
# * DOS at the Fermi energy: 2.5 states/eV per cell
# * calculated formation energy: -0.32 eV/f.u.
# * calculated total energy: -59.32 eV/cell
# * energy relative to the lowest polymorph listed for this composition: 0 meV per atom


(2)
# Tl4InF6 (PBE, relaxed)
data_Tl4InF6
_space_group_name_H-M_alt 'P 1'
_space_group_IT_number 1
_cell_length_a 7.661
_cell_length_b 7.661
_cell_length_c 9.765
_cell_angle_alpha 90.00
_cell_angle_beta 90.00
_cell_angle_gamma 90.00
loop_
_space_group_symop_operation_xyz
'x,y,z'
loop_
_atom_site_label
_atom_site_fract_x
_atom_site_fract_y
_atom_site_fract_z
Tl1 0.324 0.176 0.250
Tl2 0.176 0.676 0.750
Tl3 0.676 0.824 0.750
Tl4 0.824 0.324 0.750
Tl5 0.324 0.176 0.750
Tl6 0.176 0.676 0.250
Tl7 0.824 0.324 0.250
Tl8 0.676 0.824 0.250
In1 0.500 0.500 0.000
In2 0.000 0.000 0.500
F1 0.213 0.825 0.500
F2 0.713 0.675 0.000
F3 0.675 0.287 0.000
F4 0.175 0.213 0.500
F5 0.000 0.000 0.280
F6 0.500 0.500 0.220
F7 0.325 0.713 0.000
F8 0.000 0.000 0.720
F9 0.287 0.325 0.000
F10 0.500 0.500 0.780
F11 0.825 0.787 0.500
F12 0.787 0.175 0.500
# * DOS at the Fermi energy: 5.2 states/eV per cell
# * formation energy without anion corrections: -1.819 eV/atom
# * calculated total energy: -86.88 eV/cell